Compound: Dy7Ho4In
Source: Alexandria
Functional: GGA-PBE
Structure: relaxed

The space group is P-1 (No. 2) and the conventional cell measures 6.490, 6.663 and 8.863 Å, with angles of 83.99, 77.18 and 81.48 degrees. Symmetry generates all atoms from Dy at (0.000, 0.000, 0.000), Dy at (0.154, 0.609, 0.316), Dy at (0.192, 0.101, 0.390), Dy at (0.464, 0.253, 0.045), Ho at (0.308, 0.701, 0.658), Ho at (0.371, 0.192, 0.712) and In at (0.000, 0.500, 0.000).

The formation energy from the elements comes out at -19.0 meV/atom. As for the density of states at the Fermi level: 15.232 states/eV per cell. Its mass density is 8614 kg/m3.